This record from Alexandria via LeMat-Bulk describes crystalline Te5Pd3F at its relaxed geometry. The functional is PBE.

Unit cell a=6.7948 b=6.7948 c=11.8130 alpha=71.61 beta=71.61 gamma=81.74
Fractional positions:
Te (0.7103, 0.7103, 0.0723)
Te (0.9959, 0.3797, 0.3470)
Te (0.6203, 0.0041, 0.6530)
Te (0.6204, 0.6204, 0.5683)
Te (0.2897, 0.2897, 0.9277)
Te (0.3797, 0.9959, 0.3470)
Te (0.3796, 0.3796, 0.4317)
Te (0.0041, 0.6203, 0.6530)
Te (0.6951, 0.3049, 0.0000)
Te (0.3049, 0.6951, 0.0000)
F (0.9069, 0.9069, 0.2012)
F (0.0931, 0.0931, 0.7988)
Pd (0.3160, 0.3160, 0.1603)
Pd (0.6840, 0.6840, 0.8397)
Pd (0.3412, 0.3412, 0.6770)
Pd (0.6588, 0.6588, 0.3230)
Pd (0.0000, 0.0000, 0.0000)
Pd (0.0000, 0.0000, 0.5000)

Summary:
The calculation puts the total energy at -36.07 eV per formula unit.